! Fe3AsF PBE with a Hubbard U optimized geometry; values from VASP
&SYSTEM
  ibrav = 0, nat = 5, ntyp = 3
/
ATOMIC_SPECIES
Fe 55.84 Fe.upf
As 74.92 As.upf
F 19.00 F.upf
ATOMIC_POSITIONS crystal
Fe 0.0000 0.0000 0.5000
Fe 0.0000 0.5000 0.0000
Fe 0.5000 0.0000 0.0000
As 0.5000 0.5000 0.5000
F 0.0000 0.0000 0.0000
CELL_PARAMETERS angstrom
4.1771 0.0000 0.0000
0.0000 4.1771 0.0000
0.0000 0.0000 4.1771
! - Density: 5.957 g/cm³
! - ΔE to the lowest computed polymorph: 0 meV per atom